Model one:
First-principles (GGA-PBEsol) data for crystalline CoMoBr2 at its relaxed geometry, as listed in Alexandria.

a b c (Å): 4.4748 4.4748 3.1348
angles (deg): 90.00 90.00 90.00
With the nearest neighbours (Å) after each atom.
Space group P4/mmm (No. 123)
Unique sites:
Co 0.0000 0.0000 0.0000 x1  8 Br 2.73
Mo 0.5000 0.5000 0.0000 x1  8 Br 2.73
Br 0.0000 0.5000 0.5000 x2  4 Mo 2.73, 4 Co 2.73

V (A^3/atom): 15.693
Total magnetic moment (μB/f.u.): 2.22
N(E_F) (states/eV/cell): 5.7

---

Model two:
First-principles (GGA-PBEsol) data for crystalline CoMoBr2 at its relaxed geometry, as listed in Alexandria.

a b c (Å): 3.5240 3.5240 23.0420
angles (deg): 90.00 90.00 120.00
With the nearest neighbours (Å) after each atom.
Space group R3m (No. 160, hexagonal axes)
Unique sites:
Co 0.0000 0.0000 0.0000 x3  3 Mo 2.30, 3 Br 2.51
Mo 0.0000 0.0000 0.7132 x3  3 Co 2.30
Br 0.0000 0.0000 0.2698 x3  3 Co 2.51
Br 0.0000 0.0000 0.4577 x3  3 Mo 2.71

V (A^3/atom): 20.651
Total magnetic moment (μB/f.u.): 1.00
N(E_F) (states/eV/cell): 8.9

---

model two is favored, and the nearest alternative lies 777 meV/atom above it.

---

Model one:
First-principles (GGA-PBEsol) data for crystalline Co2OsBr at its relaxed geometry, as listed in Alexandria.

a b c (Å): 2.9854 2.9854 6.0708
angles (deg): 90.00 90.00 90.00
With the nearest neighbours (Å) after each atom.
Space group P4mm (No. 99)
Unique sites:
Co 0.0000 0.0000 0.0000 x1  4 Co 2.48, 1 Os 2.49, 4 Br 2.57
Co 0.5000 0.5000 0.2130 x1  4 Os 2.43, 4 Co 2.48
Os 0.0000 0.0000 0.4100 x1  5 Co 2.43-2.49
Br 0.5000 0.5000 0.7578 x1  5 Co 2.57-2.76

V (A^3/atom): 13.527
Total magnetic moment (μB/f.u.): 0.84
N(E_F) (states/eV/cell): 4.7

---

Model two:
First-principles (GGA-PBEsol) data for crystalline Co2OsBr at its relaxed geometry, as listed in Alexandria.

a b c (Å): 2.7501 4.5942 9.3976
angles (deg): 90.00 90.00 90.00
With the nearest neighbours (Å) after each atom.
Space group Cmm2 (No. 35)
Unique sites:
Co 0.0000 0.0000 0.0000 x2  2 Co 2.32, 2 Os 2.47
Co 0.0000 0.5000 0.1983 x2  2 Co 2.32
Os 0.0000 0.5000 0.7814 x2  2 Co 2.47, 6 Os 2.68-2.75
Br 0.0000 0.0000 0.4325 x2  2 Co 2.60, 6 Br 2.68-2.75

V (A^3/atom): 14.842
Total magnetic moment (μB/f.u.): 3.80
N(E_F) (states/eV/cell): 11.0

---

model one is favored, and the nearest alternative lies 132 meV/atom above it.

---

Model one:
First-principles (GGA-PBEsol) data for crystalline Co2OsBr at its relaxed geometry, as listed in Alexandria.

a b c (Å): 6.1492 2.7002 7.7167
angles (deg): 90.00 110.11 90.00
With the nearest neighbours (Å) after each atom.
Space group C2/m (No. 12)
Unique sites:
Co 0.1836 0.0000 0.2890 x4  3 Os 2.28-2.47, 2 Br 2.52
Os 0.0000 0.0000 0.5000 x2  6 Co 2.28-2.47
Br 0.0000 0.5000 0.0000 x2  4 Co 2.52, 2 Br 2.70

V (A^3/atom): 15.040
Total magnetic moment (μB/f.u.): 0.01
N(E_F) (states/eV/cell): 9.1

---

Model two:
First-principles (GGA-PBEsol) data for crystalline Co2OsBr at its relaxed geometry, as listed in Alexandria.

a b c (Å): 5.2517 7.2177 2.7430
angles (deg): 90.00 90.00 90.00
With the nearest neighbours (Å) after each atom.
Space group Cmmm (No. 65)
Unique sites:
Co 0.2500 0.2500 0.0000 x4  4 Br 2.62, 4 Os 2.62, 4 Co 2.63-2.74
Os 0.0000 0.0000 0.5000 x2  8 Co 2.62, 2 Br 2.63, 2 Os 2.74
Br 0.0000 0.5000 0.5000 x2  8 Co 2.62, 2 Os 2.63, 2 Br 2.74

V (A^3/atom): 12.997
Total magnetic moment (μB/f.u.): 2.04
N(E_F) (states/eV/cell): 10.1

---

model one is favored, and the nearest alternative lies 191 meV/atom above it.

---

Model one:
First-principles (GGA-PBEsol) data for crystalline CoOsBr2 at its relaxed geometry, as listed in Alexandria.

a b c (Å): 2.9090 4.1702 5.5819
angles (deg): 90.00 90.00 90.00
With the nearest neighbours (Å) after each atom.
Space group Pmmm (No. 47)
Unique sites:
Co 0.0000 0.0000 0.0000 x1  4 Br 2.54
Os 0.5000 0.0000 0.5000 x1  4 Br 2.54
Br 0.0000 0.5000 0.5000 x1  4 Os 2.54
Br 0.5000 0.5000 0.0000 x1  4 Co 2.54

V (A^3/atom): 16.929
Total magnetic moment (μB/f.u.): 1.29
N(E_F) (states/eV/cell): 6.6

---

Model two:
First-principles (GGA-PBEsol) data for crystalline CoOsBr2 at its relaxed geometry, as listed in Alexandria.

a b c (Å): 3.1192 3.1192 6.3092
angles (deg): 90.00 90.00 90.00
With the nearest neighbours (Å) after each atom.
Space group P4/mmm (No. 123)
Unique sites:
Co 0.0000 0.0000 0.0000 x1  8 Br 2.68
Os 0.0000 0.0000 0.5000 x1  8 Br 2.74
Br 0.5000 0.5000 0.2417 x2  4 Co 2.68, 4 Os 2.74

V (A^3/atom): 15.346
Total magnetic moment (μB/f.u.): 1.22
N(E_F) (states/eV/cell): 5.6

---

model one is favored, and the nearest alternative lies 49 meV/atom above it.

---

Model one:
First-principles (GGA-PBEsol) data for crystalline CoP2Br at its relaxed geometry, as listed in Alexandria.

a b c (Å): 6.1395 6.1395 6.1395
angles (deg): 90.00 90.00 90.00
With the nearest neighbours (Å) after each atom.
Space group Fm-3m (No. 225)
Unique sites:
Co 0.0000 0.0000 0.0000 x4  8 P 2.66
P 0.2500 0.2500 0.2500 x8  4 Br 2.66, 4 Co 2.66
Br 0.0000 0.0000 0.5000 x4  8 P 2.66

V (A^3/atom): 14.464
Total magnetic moment (μB/f.u.): 0.00
N(E_F) (states/eV/cell): 15.0

---

Model two:
First-principles (GGA-PBEsol) data for crystalline CoP2Br at its relaxed geometry, as listed in Alexandria.

a b c (Å): 7.3899 3.2247 6.7912
angles (deg): 90.00 111.20 90.00
With the nearest neighbours (Å) after each atom.
Space group Cm (No. 8)
Unique sites:
Co 0.0000 0.0000 0.0000 x2  5 P 2.16-2.35
P 0.2676 0.0000 0.9401 x2  1 P 2.07, 3 Co 2.16-2.28
P 0.4124 0.0000 0.7302 x2  1 P 2.07
Br 0.1116 0.5000 0.2938 x2  2 Co 2.46

V (A^3/atom): 18.860
Total magnetic moment (μB/f.u.): 0.00
N(E_F) (states/eV/cell): 2.9

---

Model three:
First-principles (GGA-PBEsol) data for crystalline CoP2Br at its relaxed geometry, as listed in Alexandria.

a b c (Å): 2.8122 4.4030 9.8576
angles (deg): 90.00 90.00 90.00
With the nearest neighbours (Å) after each atom.
Space group Immm (No. 71)
Unique sites:
Co 0.0000 0.0000 0.0000 x2  4 P 2.34, 4 Br 2.61
P 0.0000 0.5000 0.3108 x4  2 Co 2.34
Br 0.0000 0.0000 0.5000 x2  4 Co 2.61, 2 Br 2.81, 4 P 2.89

V (A^3/atom): 15.257
Total magnetic moment (μB/f.u.): 0.00
N(E_F) (states/eV/cell): 4.8

---

model two is favored, and the nearest alternative lies 500 meV/atom above it.

---

Model one:
First-principles (GGA-PBEsol) data for crystalline CoPtBr2 at its relaxed geometry, as listed in Alexandria.

a b c (Å): 3.0997 3.0997 7.1001
angles (deg): 90.00 90.00 90.00
With the nearest neighbours (Å) after each atom.
Space group P4/mmm (No. 123)
Unique sites:
Co 0.0000 0.0000 0.0000 x1  8 Br 2.70
Pt 0.0000 0.0000 0.5000 x1  8 Br 2.95, 4 Pt 3.10
Br 0.5000 0.5000 0.2229 x2  4 Co 2.70, 4 Pt 2.95

V (A^3/atom): 17.055
Total magnetic moment (μB/f.u.): 2.64
N(E_F) (states/eV/cell): 5.3

---

Model two:
First-principles (GGA-PBEsol) data for crystalline CoPtBr2 at its relaxed geometry, as listed in Alexandria.

a b c (Å): 3.6172 3.6172 21.4201
angles (deg): 90.00 90.00 120.00
With the nearest neighbours (Å) after each atom.
Space group R3m (No. 160, hexagonal axes)
Unique sites:
Co 0.0000 0.0000 0.0000 x3  3 Br 2.40, 3 Pt 2.44
Pt 0.0000 0.0000 0.7254 x3  3 Co 2.44, 3 Br 2.58
Br 0.0000 0.0000 0.2781 x3  3 Co 2.40
Br 0.0000 0.0000 0.4628 x3  3 Pt 2.58

V (A^3/atom): 20.226
Total magnetic moment (μB/f.u.): 0.58
N(E_F) (states/eV/cell): 13.9

---

Model three:
First-principles (GGA-PBEsol) data for crystalline CoPtBr2 at its relaxed geometry, as listed in Alexandria.

a b c (Å): 6.5669 6.5669 6.5669
angles (deg): 90.00 90.00 90.00
With the nearest neighbours (Å) after each atom.
Space group F-43m (No. 216)
Unique sites:
Co 0.0000 0.0000 0.0000 x4  4 Pt 2.84, 4 Br 2.84
Pt 0.2500 0.2500 0.7500 x4  4 Co 2.84, 4 Br 2.84
Br 0.0000 0.0000 0.5000 x4  4 Br 2.84, 4 Pt 2.84
Br 0.2500 0.2500 0.2500 x4  4 Co 2.84, 4 Br 2.84

V (A^3/atom): 17.700
Total magnetic moment (μB/f.u.): 2.65
N(E_F) (states/eV/cell): 29.6

---

model two is favored, and the nearest alternative lies 717 meV/atom above it.

---

Model one:
First-principles (GGA-PBEsol) data for crystalline Co2ReBr at its relaxed geometry, as listed in Alexandria.

a b c (Å): 5.9638 5.9638 5.9638
angles (deg): 90.00 90.00 90.00
With the nearest neighbours (Å) after each atom.
Space group Fm-3m (No. 225)
Unique sites:
Co 0.2500 0.2500 0.2500 x8  4 Re 2.58, 4 Br 2.58
Re 0.0000 0.0000 0.0000 x4  8 Co 2.58
Br 0.0000 0.0000 0.5000 x4  8 Co 2.58

V (A^3/atom): 13.257
Total magnetic moment (μB/f.u.): 0.00
N(E_F) (states/eV/cell): 22.9

---

Model two:
First-principles (GGA-PBEsol) data for crystalline Co2ReBr at its relaxed geometry, as listed in Alexandria.

a b c (Å): 2.8163 2.8163 23.9344
angles (deg): 90.00 90.00 120.00
With the nearest neighbours (Å) after each atom.
Space group R3m (No. 160, hexagonal axes)
Unique sites:
Co 0.0000 0.0000 0.0000 x3  3 Co 2.44, 3 Re 2.52
Co 0.0000 0.0000 0.2572 x3  3 Co 2.44, 3 Br 2.58
Re 0.0000 0.0000 0.7473 x3  3 Co 2.52, 3 Br 2.76, 6 Re 2.82
Br 0.0000 0.0000 0.5070 x3  3 Co 2.58, 3 Re 2.76, 6 Br 2.82

V (A^3/atom): 13.700
Total magnetic moment (μB/f.u.): 3.02
N(E_F) (states/eV/cell): 14.0

---

model two is favored, and the nearest alternative lies 451 meV/atom above it.

---

Model one:
First-principles (GGA-PBEsol) data for crystalline CoRh2Br at its relaxed geometry, as listed in Alexandria.

a b c (Å): 2.7937 4.7950 8.7724
angles (deg): 90.00 90.00 90.00
With the nearest neighbours (Å) after each atom.
Space group Cmmm (No. 65)
Unique sites:
Co 0.0000 0.0000 0.0000 x2  4 Rh 2.44
Rh 0.0000 0.5000 0.2286 x4  2 Co 2.44
Br 0.0000 0.0000 0.5000 x2  4 Rh 2.76, 6 Br 2.77-2.79

V (A^3/atom): 14.689
Total magnetic moment (μB/f.u.): 2.71
N(E_F) (states/eV/cell): 12.5

---

Model two:
First-principles (GGA-PBEsol) data for crystalline CoRh2Br at its relaxed geometry, as listed in Alexandria.

a b c (Å): 2.8425 2.8425 24.5550
angles (deg): 90.00 90.00 120.00
With the nearest neighbours (Å) after each atom.
Space group R-3m (No. 166, hexagonal axes)
Unique sites:
Co 0.0000 0.0000 0.0000 x3  6 Rh 2.53
Rh 0.0000 0.0000 0.2548 x6  3 Co 2.53, 3 Br 2.72
Br 0.0000 0.0000 0.5000 x3  6 Rh 2.72, 6 Br 2.84

V (A^3/atom): 14.318
Total magnetic moment (μB/f.u.): 2.80
N(E_F) (states/eV/cell): 15.6

---

Model three:
First-principles (GGA-PBEsol) data for crystalline CoRh2Br at its relaxed geometry, as listed in Alexandria.

a b c (Å): 2.8889 3.3570 5.9512
angles (deg): 90.00 90.00 90.00
With the nearest neighbours (Å) after each atom.
Space group Pmm2 (No. 25)
Unique sites:
Co 0.0000 0.0000 0.0000 x1  5 Rh 2.52-2.65, 4 Br 2.71
Rh 0.0000 0.0000 0.4457 x1  6 Rh 2.64-2.89, 1 Co 2.65, 4 Br 2.81
Rh 0.5000 0.5000 0.2032 x1  4 Co 2.52, 4 Rh 2.64, 1 Br 2.77
Br 0.5000 0.5000 0.7377 x1  4 Co 2.71, 5 Rh 2.77-2.81, 2 Br 2.89

V (A^3/atom): 14.428
Total magnetic moment (μB/f.u.): 2.27
N(E_F) (states/eV/cell): 5.6

---

model two is favored, and the nearest alternative lies 49 meV/atom above it.

---

Model one:
First-principles (GGA-PBEsol) data for crystalline CoSb2Br at its relaxed geometry, as listed in Alexandria.

a b c (Å): 3.2102 3.2105 7.9985
angles (deg): 90.00 90.08 90.00
With the nearest neighbours (Å) after each atom.
Space group P2/m (No. 10)
Unique sites:
Co 0.0000 0.0000 0.0000 x1  8 Sb 2.74
Sb 0.4991 0.5000 0.8074 x2  4 Co 2.74
Br 0.0000 0.0000 0.5000 x1  4 Br 3.21, 8 Sb 3.34-3.35

V (A^3/atom): 20.609
Total magnetic moment (μB/f.u.): 0.21
N(E_F) (states/eV/cell): 4.4

---

Model two:
First-principles (GGA-PBEsol) data for crystalline CoSb2Br at its relaxed geometry, as listed in Alexandria.

a b c (Å): 3.2646 3.2646 8.8326
angles (deg): 90.00 90.00 90.00
With the nearest neighbours (Å) after each atom.
Space group P4mm (No. 99)
Unique sites:
Co 0.0000 0.0000 0.0000 x1  5 Sb 2.47-2.49
Sb 0.0000 0.0000 0.2801 x1  1 Co 2.47
Sb 0.5000 0.5000 0.8941 x1  4 Co 2.49, 1 Br 2.54
Br 0.5000 0.5000 0.6069 x1  1 Sb 2.54

V (A^3/atom): 23.533
Total magnetic moment (μB/f.u.): 0.00
N(E_F) (states/eV/cell): 3.3

---

model one is favored, and the nearest alternative lies 117 meV/atom above it.

---

Model one:
First-principles (GGA-PBEsol) data for crystalline CoSb2Br at its relaxed geometry, as listed in Alexandria.

a b c (Å): 6.6929 3.8572 8.1053
angles (deg): 90.00 105.81 90.00
With the nearest neighbours (Å) after each atom.
Space group C2/m (No. 12)
Unique sites:
Co 0.0000 0.0000 0.0000 x2  6 Sb 2.51
Sb 0.1183 0.5000 0.8520 x4  3 Co 2.51, 1 Br 2.75
Br 0.0000 0.5000 0.5000 x2  2 Sb 2.75

V (A^3/atom): 25.166
Total magnetic moment (μB/f.u.): 0.00
N(E_F) (states/eV/cell): 5.2

---

Model two:
First-principles (GGA-PBEsol) data for crystalline CoSb2Br at its relaxed geometry, as listed in Alexandria.

a b c (Å): 3.1683 4.7753 11.4330
angles (deg): 90.00 90.00 90.00
With the nearest neighbours (Å) after each atom.
Space group Immm (No. 71)
Unique sites:
Co 0.0000 0.0000 0.0000 x2  4 Sb 2.61, 4 Br 2.87
Sb 0.0000 0.5000 0.3187 x4  2 Co 2.61
Br 0.0000 0.0000 0.5000 x2  4 Co 2.87, 4 Sb 3.16, 2 Br 3.17

V (A^3/atom): 21.622
Total magnetic moment (μB/f.u.): 0.98
N(E_F) (states/eV/cell): 6.5

---

model one is favored, and the nearest alternative lies 388 meV/atom above it.

---

Model one:
First-principles (GGA-PBEsol) data for crystalline ScCo2Br at its relaxed geometry, as listed in Alexandria.

a b c (Å): 3.0564 3.0564 23.2531
angles (deg): 90.00 90.00 120.00
With the nearest neighbours (Å) after each atom.
Space group R-3m (No. 166, hexagonal axes)
Unique sites:
Sc 0.0000 0.0000 0.0000 x3  6 Co 2.66
Co 0.0000 0.0000 0.2477 x6  3 Br 2.58, 3 Sc 2.66
Br 0.0000 0.0000 0.5000 x3  6 Co 2.58

V (A^3/atom): 15.677
Total magnetic moment (μB/f.u.): 2.01
N(E_F) (states/eV/cell): 15.9

---

Model two:
First-principles (GGA-PBEsol) data for crystalline ScCo2Br at its relaxed geometry, as listed in Alexandria.

a b c (Å): 5.2286 8.7344 3.0769
angles (deg): 90.00 123.81 90.00
With the nearest neighbours (Å) after each atom.
Space group C2/m (No. 12)
Unique sites:
Sc 0.0000 0.0000 0.0000 x2  4 Co 2.57, 4 Br 2.61-2.71
Co 0.2500 0.2500 0.5000 x4  2 Br 2.57, 2 Sc 2.57, 4 Co 2.61-2.71
Br 0.0000 0.5000 0.0000 x2  4 Co 2.57, 4 Sc 2.61-2.71

V (A^3/atom): 14.594
Total magnetic moment (μB/f.u.): 1.45
N(E_F) (states/eV/cell): 9.0

---

model two is favored, and the nearest alternative lies 158 meV/atom above it.

---

Model one:
First-principles (GGA-PBEsol) data for crystalline CoSiBr2 at its relaxed geometry, as listed in Alexandria.

a b c (Å): 3.7218 3.7218 11.5148
angles (deg): 90.00 90.00 90.00
With the nearest neighbours (Å) after each atom.
Space group I-4m2 (No. 119)
Unique sites:
Co 0.0000 0.0000 0.0000 x2  4 Br 2.63
Si 0.0000 0.5000 0.2500 x2  4 Br 2.63
Br 0.0000 0.0000 0.5000 x2  4 Co 2.63
Br 0.0000 0.5000 0.7500 x2  4 Si 2.63

V (A^3/atom): 19.938
Total magnetic moment (μB/f.u.): 1.28
N(E_F) (states/eV/cell): 12.4

---

Model two:
First-principles (GGA-PBEsol) data for crystalline CoSiBr2 at its relaxed geometry, as listed in Alexandria.

a b c (Å): 6.5885 6.5885 6.5885
angles (deg): 90.00 90.00 90.00
With the nearest neighbours (Å) after each atom.
Space group Fm-3m (No. 225)
Unique sites:
Co 0.0000 0.0000 0.0000 x4  8 Br 2.85
Si 0.0000 0.0000 0.5000 x4  8 Br 2.85
Br 0.2500 0.2500 0.2500 x8  4 Co 2.85, 4 Si 2.85

V (A^3/atom): 17.874
Total magnetic moment (μB/f.u.): 1.51
N(E_F) (states/eV/cell): 19.2

---

model two is favored, and the nearest alternative lies 52 meV/atom above it.